VASP calculation (GGA-PBE) on Ta2PbSe after structural relaxation.

Output
N(E_F) = 0.70 states/eV/atom
Crystal system = orthorhombic
Spin magnetization = 0.00 Bohr magnetons per cell
Energy relative to the elements, uncorrected = 350 meV per atom

abc: 3.105 5.555 9.454
angles: 90.00 90.00 90.00
Space group Immm (No. 71)
Unique sites:
Ta (0.000, 0.000, 0.220) (multiplicity 4)
Pb (0.000, 0.500, 0.000) (multiplicity 2)
Se (0.000, 0.500, 0.500) (multiplicity 2)

VASP calculation (GGA-PBE) on In2FeAs after structural relaxation.

Output
N(E_F) = 0.96 states/eV/atom
Crystal system = cubic
Total DFT energy (no corrections) = -66.703 eV for the cell shown
Spin magnetization = 11.69 Bohr magnetons per cell

abc: 6.944 6.944 6.944
angles: 90.00 90.00 90.00
Space group F-43m (No. 216)
Unique sites:
In (0.000, 0.000, 0.000) (multiplicity 4)
In (0.250, 0.250, 0.250) (multiplicity 4)
Fe (0.250, 0.250, 0.750) (multiplicity 4)
As (0.000, 0.000, 0.500) (multiplicity 4)

VASP calculation (GGA-PBE) on La2Nd5Au4 after structural relaxation.

Output
N(E_F) = 1.12 states/eV/atom
Crystal system = monoclinic
Total DFT energy (no corrections) = -103.038 eV for the cell shown
Spin magnetization = 0.00 Bohr magnetons per cell

abc: 24.767 3.939 7.170
angles: 90.00 94.37 90.00
Space group C2/m (No. 12)
Unique sites:
La (0.227, 0.000, 0.240) (multiplicity 4)
Nd (0.000, 0.000, 0.000) (multiplicity 2)
Nd (0.103, 0.500, 0.394) (multiplicity 4)
Nd (0.131, 0.500, 0.912) (multiplicity 4)
Au (0.020, 0.500, 0.692) (multiplicity 4)
Au (0.177, 0.000, 0.642) (multiplicity 4)

VASP calculation (GGA-PBE) on Sm2Dy7Ho after structural relaxation.

Output
N(E_F) = 1.43 states/eV/atom
Crystal system = triclinic
Total DFT energy (no corrections) = -46.057 eV for the cell shown
Spin magnetization = 0.00 Bohr magnetons per cell

abc: 6.155 7.109 7.954
angles: 77.07 75.01 73.32
Space group P-1 (No. 2)
Unique sites:
Sm (0.201, 0.299, 0.101) (multiplicity 2)
Dy (0.000, 0.000, 0.500) (multiplicity 1)
Dy (0.200, 0.800, 0.101) (multiplicity 2)
Dy (0.399, 0.101, 0.699) (multiplicity 2)
Dy (0.400, 0.601, 0.699) (multiplicity 2)
Ho (0.000, 0.500, 0.500) (multiplicity 1)